Compound: AlCuF2
Source: the Alexandria database
Functional: GGA-PBEsol
Structure: relaxed

Cell lengths 5.773, 5.773, 5.773 Å; angles 90.00, 90.00, 90.00 degrees
Space group Fm-3m (No. 225)
Asymmetric unit:
Al: 0.000 0.000 0.000 x4
Cu: 0.000 0.000 0.500 x4
F: 0.250 0.250 0.250 x8

DFT total energy in eV per atom: -3.94

Compound: K2AlCuF6
Source: the Alexandria database
Functional: GGA-PBEsol
Structure: relaxed

Cell lengths 8.043, 8.043, 8.043 Å; angles 90.00, 90.00, 90.00 degrees
Space group Fm-3m (No. 225)
Asymmetric unit:
K: 0.250 0.250 0.250 x8
Al: 0.000 0.000 0.000 x4
Cu: 0.000 0.000 0.500 x4
F: 0.000 0.000 0.226 x24

DFT total energy in eV per atom: -4.99

Compound: KAlCuF6
Source: the Alexandria database
Functional: GGA-PBEsol
Structure: relaxed

Cell lengths 6.627, 7.043, 9.723 Å; angles 90.00, 90.00, 90.00 degrees
Space group Pnma (No. 62)
Asymmetric unit:
K: 0.012 0.250 0.118 x4
Al: 0.000 0.000 0.500 x4
Cu: 0.184 0.250 0.764 x4
F: 0.068 0.250 0.484 x4
F: 0.077 0.750 0.161 x4
F: 0.113 0.508 0.669 x8
F: 0.241 0.558 0.426 x8

DFT total energy in eV per atom: -5.10

| no. | raw formation energy (eV per atom) | spin magnetization (μB/atom) | V (Å³ per cell) |
| --- | --- | --- | --- |
| 1 | -0.87 | 0.000 | 192 |
| 2 | -2.77 | 0.010 | 520 |
| 3 | -2.75 | 0.111 | 454 |